1.
The following is a DFT calculation (PBE-GGA) of a relaxed structure of TaTi3C4.

a b c (Å): 3.104 5.352 5.352
angles (deg): 109.42 90.00 90.00
Fractional coordinates of all 8 atoms:
Ta (0.500, 0.000, 0.000)
Ti (0.000, 0.000, 0.500)
Ti (0.500, 0.500, 0.500)
Ti (0.000, 0.500, 0.000)
C (0.000, 0.253, 0.253)
C (0.500, 0.749, 0.251)
C (0.000, 0.747, 0.747)
C (0.500, 0.251, 0.749)

Raw total energy = -9.858 eV/atom
Crystal system = orthorhombic
DFT formation energy = -804 meV per atom


2.
The following is a DFT calculation (PBE-GGA) of a relaxed structure of Tl2TcAg.

a b c (Å): 10.110 10.110 10.110
angles (deg): 17.96 17.96 17.96
Each line ends with the local moment (μB).
Fractional coordinates of all 4 atoms:
Ag (0.492, 0.492, 0.492)  0.03
Tc (0.753, 0.753, 0.753)  1.03
Tl (0.009, 0.009, 0.009)  -0.01
Tl (0.246, 0.246, 0.246)  0.00

Raw total energy = -3.854 eV/atom
Crystal system = trigonal
DFT formation energy = 633 meV per atom


3.
The following is a DFT calculation (PBE-GGA) of a relaxed structure of Li3TiZn.

a b c (Å): 5.064 5.064 5.064
angles (deg): 90.00 90.00 90.00
Each line ends with the local moment (μB).
Fractional coordinates of all 5 atoms:
Zn (0.500, 0.500, 0.500)  0.00
Li (0.000, 0.500, 0.000)  0.03
Li (0.000, 0.000, 0.500)  0.03
Li (0.500, 0.000, 0.000)  0.04
Ti (0.000, 0.000, 0.000)  2.12

Raw total energy = -1.915 eV/atom
Crystal system = cubic
DFT formation energy = 1067 meV per atom


4.
The following is a DFT calculation (PBE-GGA) of a relaxed structure of Gd2ZrCd.

a b c (Å): 3.442 3.442 9.126
angles (deg): 90.00 90.00 90.00
Each line ends with the local moment (μB).
Fractional coordinates of all 4 atoms:
Gd (0.000, 0.000, 0.753)  -7.14
Gd (0.000, 0.000, 0.247)  -7.14
Zr (0.500, 0.500, 0.500)  0.09
Cd (0.500, 0.500, 0.000)  0.00

Raw total energy = -9.519 eV/atom
Crystal system = tetragonal
DFT formation energy = -113 meV per atom


5.
The following is a DFT calculation (PBE-GGA) of a relaxed structure of BeRe3.

a b c (Å): 8.603 8.603 8.603
angles (deg): 18.40 18.40 18.40
Fractional coordinates of all 4 atoms:
Re (0.745, 0.745, 0.745)
Re (0.500, 0.500, 0.500)
Re (0.255, 0.255, 0.255)
Be (0.000, 0.000, 0.000)

Raw total energy = -10.153 eV/atom
Crystal system = trigonal
DFT formation energy = 114 meV per atom


6.
The following is a DFT calculation (PBE-GGA) of a relaxed structure of PmO2F3.

a b c (Å): 6.384 6.384 5.533
angles (deg): 70.64 70.64 55.39
Each line ends with the local moment (μB).
Fractional coordinates of all 12 atoms:
Pm (0.780, 0.220, 0.250)  -0.02
Pm (0.220, 0.780, 0.750)  -0.02
O (0.680, 0.644, 0.358)  1.41
O (0.644, 0.680, 0.858)  1.41
O (0.356, 0.320, 0.142)  1.41
O (0.320, 0.356, 0.642)  1.41
F (0.626, 0.374, 0.750)  0.35
F (0.374, 0.626, 0.250)  0.35
F (0.117, 0.130, 0.905)  0.10
F (0.870, 0.883, 0.595)  0.10
F (0.130, 0.117, 0.405)  0.10
F (0.883, 0.870, 0.095)  0.10

Formation energy from raw total energies = -1.68 eV/atom
Raw total energy = -5.065 eV/atom
Crystal system = monoclinic


7.
The following is a DFT calculation (PBE-GGA) of a relaxed structure of Ta2AgIr.

a b c (Å): 7.410 7.410 5.921
angles (deg): 51.26 51.26 90.00
Fractional coordinates of all 8 atoms:
Ir (0.000, 0.000, 0.000)
Ir (0.750, 0.250, 0.500)
Ag (0.500, 0.500, 0.000)
Ag (0.250, 0.750, 0.500)
Ta (0.662, 0.125, 0.250)
Ta (0.088, 0.625, 0.250)
Ta (0.375, 0.338, 0.750)
Ta (0.875, 0.912, 0.750)

Raw total energy = -8.469 eV/atom
Crystal system = tetragonal
DFT formation energy = 385 meV per atom


8.
The following is a DFT calculation (PBE-GGA) of a relaxed structure of Nd12GePd6.

a b c (Å): 8.570 8.570 8.570
angles (deg): 99.59 99.59 99.59
Fractional coordinates of all 19 atoms:
Nd (0.819, 0.589, 0.423)
Nd (0.423, 0.819, 0.589)
Nd (0.589, 0.423, 0.819)
Nd (0.181, 0.411, 0.577)
Nd (0.577, 0.181, 0.411)
Nd (0.411, 0.577, 0.181)
Nd (0.089, 0.942, 0.324)
Nd (0.058, 0.676, 0.911)
Nd (0.676, 0.911, 0.058)
Nd (0.911, 0.058, 0.676)
Nd (0.942, 0.324, 0.089)
Nd (0.324, 0.089, 0.942)
Ge (0.000, 0.000, 0.000)
Pd (0.676, 0.865, 0.385)
Pd (0.615, 0.324, 0.135)
Pd (0.135, 0.615, 0.324)
Pd (0.324, 0.135, 0.615)
Pd (0.385, 0.676, 0.865)
Pd (0.865, 0.385, 0.676)

Raw total energy = -5.335 eV/atom
Crystal system = trigonal
DFT formation energy = -441 meV per atom


9.
The following is a DFT calculation (PBE-GGA) of a relaxed structure of Mn2AsP.

a b c (Å): 5.382 5.382 6.811
angles (deg): 66.73 66.73 90.00
Each line ends with the local moment (μB).
Fractional coordinates of all 8 atoms:
P (0.500, 0.500, 0.000)  -0.16
P (0.250, 0.750, 0.500)  -0.16
As (0.000, 0.000, 0.000)  -0.18
As (0.750, 0.250, 0.500)  -0.18
Mn (0.604, 0.125, 0.250)  3.31
Mn (0.146, 0.625, 0.250)  3.30
Mn (0.375, 0.396, 0.750)  3.29
Mn (0.875, 0.854, 0.750)  3.33

Raw total energy = -6.984 eV/atom
Crystal system = tetragonal
DFT formation energy = 116 meV per atom


10.
The following is a DFT calculation (PBE-GGA) of a relaxed structure of PmNdTeP.

a b c (Å): 4.201 4.201 7.863
angles (deg): 90.00 105.49 120.00
Fractional coordinates of all 4 atoms:
Pm (0.110, 0.953, 0.078)
Nd (0.495, 0.145, 0.656)
Te (0.967, 0.381, 0.363)
P (0.307, 0.551, 0.873)

Formation energy from raw total energies = -1.55 eV/atom
Raw total energy = -6.064 eV/atom
Crystal system = trigonal


11.
The following is a DFT calculation (PBE-GGA) of a relaxed structure of NaTl14Cd.

a b c (Å): 6.990 6.990 11.327
angles (deg): 90.00 90.00 119.53
Fractional coordinates of all 16 atoms:
Na (0.084, 0.916, 0.500)
Tl (0.086, 0.914, 0.000)
Tl (0.583, 0.417, 0.000)
Tl (0.079, 0.409, 0.500)
Tl (0.085, 0.418, 0.000)
Tl (0.591, 0.921, 0.500)
Tl (0.582, 0.915, 0.000)
Tl (0.419, 0.088, 0.744)
Tl (0.419, 0.088, 0.256)
Tl (0.912, 0.581, 0.744)
Tl (0.912, 0.581, 0.256)
Tl (0.416, 0.584, 0.745)
Tl (0.416, 0.584, 0.255)
Tl (0.915, 0.085, 0.751)
Tl (0.915, 0.085, 0.249)
Cd (0.585, 0.415, 0.500)

Raw total energy = -2.219 eV/atom
Crystal system = orthorhombic
DFT formation energy = -9 meV per atom


12.
The following is a DFT calculation (PBE-GGA) of a relaxed structure of SmDy4Ru2.

a b c (Å): 6.398 7.946 7.756
angles (deg): 112.66 90.00 90.00
Fractional coordinates of all 14 atoms:
Sm (0.250, 0.836, 0.977)
Sm (0.750, 0.164, 0.023)
Dy (0.501, 0.415, 0.756)
Dy (0.250, 0.250, 0.324)
Dy (0.750, 0.750, 0.676)
Dy (0.999, 0.415, 0.756)
Dy (0.750, 0.020, 0.379)
Dy (0.001, 0.585, 0.244)
Dy (0.499, 0.585, 0.244)
Dy (0.250, 0.980, 0.621)
Ru (0.250, 0.262, 0.978)
Ru (0.750, 0.738, 0.022)
Ru (0.750, 0.373, 0.414)
Ru (0.250, 0.627, 0.586)

Raw total energy = -6.195 eV/atom
Crystal system = monoclinic
DFT formation energy = -240 meV per atom


13.
The following is a DFT calculation (PBE-GGA) of a relaxed structure of Cs2CaVCl6.

a b c (Å): 7.435 7.435 7.435
angles (deg): 60.00 60.00 90.00
Each line ends with the local moment (μB).
Fractional coordinates of all 10 atoms:
Cs (0.750, 0.250, 0.500)  0.00
Cs (0.250, 0.750, 0.500)  0.00
Ca (0.500, 0.500, 0.000)  0.00
Cl (0.239, 0.239, 0.522)  0.00
Cl (0.761, 0.761, 0.478)  0.00
Cl (0.239, 0.239, 0.000)  0.00
Cl (0.761, 0.761, 0.000)  0.00
Cl (0.761, 0.239, 0.000)  0.00
Cl (0.239, 0.761, 0.000)  0.00
V (0.000, 0.000, 0.000)  2.59

Formation energy from raw total energies = -1.88 eV/atom
Raw total energy = -4.273 eV/atom
Crystal system = cubic